Entry 1:
DFT (PBE) results for a relaxed SnOsBr2 crystal.

a = 9.016 Å, b = 9.016 Å, c = 6.888 Å
α = 49.12°, β = 49.12°, γ = 90.00°
Element x y z (fractional)
Os: 0.000 0.000 0.000
Os: 0.750 0.250 0.500
Sn: 0.500 0.500 0.000
Sn: 0.250 0.750 0.500
Br: 0.754 0.125 0.250
Br: 0.996 0.625 0.250
Br: 0.375 0.246 0.750
Br: 0.875 0.004 0.750

Properties
M_tot (μB per cell): 0.0
Excess energy over the best structure of this formula in the dataset (eV per atom): 0.000
Raw total energy (eV per atom): -4.28
Formation energy from raw total energies (eV per atom): 0.36
DOS at the Fermi energy (states/eV/f.u.): 0.06

---

Entry 2:
DFT (PBE) results for a relaxed CdCo2P crystal.

a = 4.584 Å, b = 4.584 Å, c = 4.584 Å
α = 137.61°, β = 118.32°, γ = 77.70°
Element x y z (fractional)
Cd: 0.250 0.750 0.500
Co: 0.939 0.939 0.000
Co: 0.561 0.561 0.000
P: 0.750 0.250 0.500

Properties
M_tot (μB per cell): 0.0
Excess energy over the best structure of this formula in the dataset (eV per atom): 0.192
Raw total energy (eV per atom): -5.08
Formation energy from the elements (eV per formula unit): 0.21
DOS at the Fermi energy (states/eV/f.u.): 2.93